{
  "formula": "CeNd3Sn3",
  "functional": "PBE",
  "state": "relaxed",
  "lattice": [[-6.0590, 1.1097, -2.6745], [1.9162, -6.2422, -1.5682], [-4.2673, -3.3724, 8.3515]],
  "species": ["Sn", "Sn", "Sn", "Sn", "Sn", "Sn", "Nd", "Nd", "Nd", "Nd", "Nd", "Nd", "Ce", "Ce"],
  "fractional_positions": [[0.5168, 0.9569, 0.7457], [0.0431, 0.4832, 0.2543], [0.0148, 0.0148, 0.7630], [0.9852, 0.9852, 0.2370], [0.4832, 0.0431, 0.2543], [0.9569, 0.5168, 0.7457], [0.4267, 0.4267, 0.6840], [0.8201, 0.1799, 0.5000], [0.5733, 0.5733, 0.3160], [0.2061, 0.7939, 0.0000], [0.7939, 0.2061, 0.0000], [0.1799, 0.8201, 0.5000], [0.3345, 0.3345, 0.0308], [0.6655, 0.6655, 0.9692]],
  "sg": "C2/m",
  "delta_e_f_ev_per_atom": -0.490
}


{
  "formula": "CeNpGa5Ir2",
  "functional": "PBE",
  "state": "relaxed",
  "lattice": [[4.8052, 0.0000, 0.0000], [0.0000, 4.8052, 0.0000], [0.0000, 0.0000, 7.7728]],
  "species": ["Ir", "Ir", "Ga", "Ga", "Ga", "Ga", "Ga", "Ce", "Np"],
  "fractional_positions": [[0.5000, 0.5000, 0.8219], [0.5000, 0.5000, 0.1781], [0.5000, 0.5000, 0.5000], [0.0000, 0.5000, 0.7598], [0.5000, 0.0000, 0.2402], [0.0000, 0.5000, 0.2402], [0.5000, 0.0000, 0.7598], [0.0000, 0.0000, 0.5000], [0.0000, 0.0000, 0.0000]],
  "sg": "P4/mmm",
  "delta_e_f_ev_per_atom": -0.194
}


{
  "formula": "Sc8P3CS4",
  "functional": "PBE",
  "state": "relaxed",
  "lattice": [[7.3442, 0.0000, 0.0000], [0.0000, 7.3845, 0.0224], [-3.6721, -3.6677, 5.1963]],
  "species": ["P", "P", "P", "Sc", "Sc", "Sc", "Sc", "Sc", "Sc", "Sc", "Sc", "S", "S", "S", "S", "C"],
  "fractional_positions": [[0.0000, 0.5000, 0.5000], [0.5000, 0.5000, 0.0000], [0.5000, 0.5000, 0.5000], [0.7650, 0.7259, 0.9954], [0.2303, 0.7258, 0.4607], [0.7695, 0.2741, 0.0046], [0.2350, 0.2741, 0.0046], [0.2305, 0.7259, 0.9954], [0.7697, 0.2742, 0.5393], [0.7473, 0.7418, 0.4945], [0.2527, 0.2582, 0.5055], [0.0000, 0.0000, 0.5000], [0.0000, 0.0000, 0.0000], [0.5000, 0.0000, 0.0000], [0.5000, 0.0000, 0.5000], [0.0000, 0.5000, 0.0000]],
  "sg": "R-3m",
  "formation_energy_uncorrected_ev_per_atom": -1.621
}